[1]
Below is a relaxed Tl6In2Sb crystal, with properties calculated at the PBE level.

The density is 9.60 g/cm³. Its excess energy over the best structure of this formula in the dataset is 1.6 kJ per mole of atoms. The uncorrected energy is -2.6005 eV/atom.

It has space group P-6m2 (No. 187), with a = 3.5640 Å, b = 3.5640 Å, c = 24.7975 Å, α = 90.00°, β = 90.00° and γ = 120.00°. The asymmetric unit holds Tl at (0.0000, 0.0000, 0.0634), Tl at (0.0000, 0.0000, 0.2736), Tl at (0.3333, 0.6667, 0.3910), In at (0.3333, 0.6667, 0.1683) and Sb at (0.0000, 0.0000, 0.5000).


[2]
Below is a relaxed K3HfNp2Te6 crystal, with properties calculated at the PBE level.

The density is 6.05 g/cm³. The uncorrected energy is -5.7170 eV/atom.

It has space group C2/m (No. 12), with a = 7.665 Å, b = 13.279 Å, c = 8.668 Å, α = 90.00°, β = 107.22° and γ = 90.00°. The asymmetric unit holds K at (0.000, 0.000, 0.000), K at (0.000, 0.328, 0.000), Hf at (0.000, 0.500, 0.500), Np at (0.000, 0.166, 0.500), Te at (0.226, 0.342, 0.707) and Te at (0.245, 0.500, 0.292).


[3]
Below is a relaxed CdRu2Pt2 crystal, with properties calculated at the PBE level.

The density is 14.12 g/cm³. The calculation puts the formation energy at 0.2146 eV/atom. Its excess energy over the best structure of this formula in the dataset is 0.0 kJ per mole of atoms. The uncorrected energy is -6.0951 eV/atom.

It has space group P4/mbm (No. 127), with a = 7.712 Å, b = 7.712 Å, c = 2.787 Å, α = 90.00°, β = 90.00° and γ = 90.00°. The asymmetric unit holds Cd at (0.000, 0.000, 0.000), Ru at (0.117, 0.383, 0.000) and Pt at (0.179, 0.679, 0.500).


Q: Which value of uncorrected energy does entry 2 give?
A: -5.7170 eV/atom


Q: Number 2 is which compound?
A: K3HfNp2Te6


Q: Which of these has the highest uncorrected energy?
A: Tl6In2Sb


Q: Among the records above, which one has the lowest uncorrected energy?
A: CdRu2Pt2